[1]
Material: RbBa
Method: DFT, PBE
State: relaxed

Output
ΔH_f (0 K) = 0.123 eV/atom
calculated total energy = -1.3217 eV per atom
calculated volume = 148.2 Å³/f.u.
mass density = 2.50 g/cm3
M_tot = 0.0 Bohr magnetons per cell

Lattice parameters (Å, degrees): 4.8586 7.5945 8.0323 90.00 90.00 90.00
With the nearest neighbours (Å) after each atom.
Atoms (fractional coordinates):
Rb 0.2500 0.2500 0.0080  6 Rb 4.51-4.86, 4 Ba 4.68-4.70
Rb 0.7500 0.7500 0.9920  6 Rb 4.51-4.86, 4 Ba 4.68-4.70
Ba 0.2500 0.7500 0.4935  6 Ba 4.51-4.86, 4 Rb 4.68-4.70
Ba 0.7500 0.2500 0.5065  6 Ba 4.51-4.86, 4 Rb 4.68-4.70



[2]
Material: K2Zn2HgCl6
Method: DFT, PBE
State: relaxed

Output
calculated total energy = -2.7923 eV per atom
calculated volume = 426.6 Å³/f.u.
mass density = 2.42 g/cm3
formation energy without anion corrections = -1.3265 eV per atom
M_tot = 0.0 Bohr magnetons per cell

Lattice parameters (Å, degrees): 6.9276 8.1518 8.4719 73.88 71.37 74.21
With the nearest neighbours (Å) after each atom.
Atoms (fractional coordinates):
K 0.0370 0.2925 0.2893  6 Cl 3.15-3.37
K 0.9630 0.7075 0.7107  6 Cl 3.15-3.37
Zn 0.4964 0.6578 0.3278  4 Cl 2.22-2.41
Zn 0.5036 0.3422 0.6722  4 Cl 2.22-2.41
Hg 0.0000 0.0000 0.0000  2 K 3.97, 4 Cl 3.97-4.13
Cl 0.2706 0.9023 0.3738  1 Zn 2.22
Cl 0.2838 0.4145 0.9092  1 Zn 2.22
Cl 0.2997 0.4315 0.4690  2 Zn 2.41
Cl 0.7003 0.5685 0.5310  2 Zn 2.41
Cl 0.7162 0.5855 0.0908  1 Zn 2.22
Cl 0.7294 0.0977 0.6262  1 Zn 2.22



- The highest calculated volume belongs to which entry?
  K2Zn2HgCl6